Record 1
This record from Alexandria via LeMat-Bulk describes a geometry-optimized Sr2USnSe5 structure. The functional is PBE.

Geometry as POSCAR:
```
Sr2USnSe5
1.0
2.144 -9.071 0.000
2.144 9.071 0.000
0.000 0.000 14.376
Sr U Sn Se
4 2 2 10
Direct
0.077 0.923 0.500
0.132 0.868 0.153
0.868 0.132 0.653
0.923 0.077 0.000
0.236 0.764 0.889
0.764 0.236 0.389
0.444 0.556 0.296
0.556 0.444 0.796
0.085 0.915 0.924
0.253 0.747 0.524
0.288 0.712 0.260
0.386 0.614 0.840
0.492 0.508 0.610
0.508 0.492 0.110
0.614 0.386 0.340
0.712 0.288 0.760
0.747 0.253 0.024
0.915 0.085 0.424
```

## Properties
E_form (uncorrected) in kcal/mol of atoms: -30.3
E_tot in eV for the cell shown: -95.8

=====

Record 2
This record from Alexandria via LeMat-Bulk describes a geometry-optimized Li2TaFe structure. The functional is PBE.

Geometry as POSCAR:
```
Li2TaFe
1.0
2.956 0.000 0.000
0.000 4.023 0.000
0.000 0.000 4.834
Li Ta Fe
2 1 1
Direct
0.000 0.000 0.000
0.500 0.500 0.000
0.000 0.500 0.500
0.500 0.000 0.500
```

## Properties
ΔE_f in eV per atom: 0.28
E_tot in eV for the cell shown: -23.0

=====

Record-wise N(E_F) values, in states/eV/f.u.: 4.56 3.05